No. 1
Below is an optimized crystal structure of RbPuO3F, with properties calculated at the PBE-GGA level.

Structure (extended XYZ):
```
12
Lattice="3.1623 -10.5802 0.0000 3.1623 10.5802 0.0000 -2.2575 0.0000 4.0814" Properties=species:S:1:pos:R:3 pbc="T T T"
Rb 1.4692 8.4977 3.0611
Rb 2.5979 -8.4977 1.0204
Pu 2.5979 4.2044 1.0204
Pu 1.4692 -4.2044 3.0611
O 0.0311 6.3351 3.8362
O 2.9072 6.3351 2.2859
O 2.5979 2.2588 1.0204
O 1.4692 -2.2588 3.0611
O 1.1598 -6.3351 1.7955
O 4.0360 -6.3351 0.2452
F 1.4692 3.9080 3.0611
F 2.5979 -3.9080 1.0204
```

Total energy in eV/atom: -7.725
Density of states at the Fermi level in states/eV/f.u.: 5.215



No. 2
Below is an optimized crystal structure of Rb2PuO4F2, with properties calculated at the PBE-GGA level.

Structure (extended XYZ):
```
9
Lattice="-3.0197 3.0197 5.1173 3.0197 -3.0197 5.1173 3.0197 3.0197 -5.1173" Properties=species:S:1:pos:R:3 pbc="T T T"
Rb 3.0197 0.0000 2.5586
Rb 0.0000 3.0197 2.5586
Pu 0.0000 0.0000 0.0000
O 1.3076 1.3076 0.0000
O 1.7121 -1.7121 5.1173
O -1.7121 1.7121 5.1173
O 1.7121 1.7121 5.1173
F 0.0000 0.0000 2.2658
F 0.0000 0.0000 7.9687
```

Total energy in eV/atom: -6.744



No. 3
Below is an optimized crystal structure of Rb3Pu2O4F3, with properties calculated at the PBE-GGA level.

Structure (extended XYZ):
```
12
Lattice="-2.1493 2.3582 11.8394 2.1493 -2.3582 11.8394 2.1493 2.3582 -11.8394" Properties=species:S:1:pos:R:3 pbc="T T T"
Rb 0.0000 0.0000 0.0000
Rb 0.0000 0.0000 4.6179
Rb 0.0000 0.0000 19.0608
Pu 0.0000 0.0000 9.4281
Pu 0.0000 0.0000 14.2506
O 0.0000 0.0000 7.4333
O 2.1493 0.0000 9.6118
O 0.0000 2.3582 2.2275
O 0.0000 0.0000 16.2454
F 2.1493 0.0000 2.1877
F 0.0000 0.0000 11.8394
F 0.0000 2.3582 9.6517
```

Total energy in eV/atom: -7.449
Density of states at the Fermi level in states/eV/f.u.: 9.744



No. 4
Below is an optimized crystal structure of Rb2PuOF5, with properties calculated at the PBE-GGA level.

Structure (extended XYZ):
```
9
Lattice="-3.3089 3.3089 4.3777 3.3089 -3.3089 4.3777 3.3089 3.3089 -4.3777" Properties=species:S:1:pos:R:3 pbc="T T T"
Rb 3.3089 0.0000 0.0000
Rb 0.0000 3.3089 0.0000
Pu 0.0000 0.0000 2.1429
O 0.0000 0.0000 0.2817
F 1.7759 1.7759 -2.1926
F 1.5330 -1.5330 2.1851
F -1.5330 1.5330 2.1851
F 1.5330 1.5330 2.1851
F 0.0000 0.0000 4.2209
```

Total energy in eV/atom: -6.362
Density of states at the Fermi level in states/eV/f.u.: 6.849



No. 5
Below is an optimized crystal structure of Rb2PuO2F2, with properties calculated at the PBE-GGA level.

Structure (extended XYZ):
```
14
Lattice="4.3327 0.0000 0.0000 0.0000 4.3327 0.0000 0.0000 0.0000 14.8699" Properties=species:S:1:pos:R:3 pbc="T T T"
Rb 0.0000 0.0000 2.2219
Rb 0.0000 0.0000 12.6481
Rb 2.1664 2.1664 5.2131
Rb 2.1664 2.1664 9.6568
Pu 0.0000 0.0000 7.4350
Pu 2.1664 2.1664 0.0000
O 0.0000 2.1664 0.0000
O 0.0000 2.1664 7.4350
O 2.1664 0.0000 0.0000
O 2.1664 0.0000 7.4350
F 0.0000 0.0000 5.0720
F 0.0000 0.0000 9.7979
F 2.1664 2.1664 2.3630
F 2.1664 2.1664 12.5070
```

Total energy in eV/atom: -7.071
Density of states at the Fermi level in states/eV/f.u.: 4.464



No. 6
Below is an optimized crystal structure of PuSeO5F, with properties calculated at the PBE-GGA level.

Structure (extended XYZ):
```
16
Lattice="3.9161 -5.7370 0.0000 3.9161 5.7370 0.0000 -3.4532 0.0000 6.1214" Properties=species:S:1:pos:R:3 pbc="T T T"
Pu 0.0000 0.0000 0.0000
Pu -1.7266 0.0000 3.0607
Se 1.3262 1.3807 4.5910
Se 3.0528 -1.3807 1.5303
O 1.3262 4.6707 4.5910
O 1.8497 2.1664 3.2650
O 0.0868 0.2086 4.1443
O 1.8134 -0.2086 1.0836
O 0.8026 2.1664 5.9171
O 3.5764 -2.1664 0.2043
O 2.5656 0.2086 5.0378
O 4.2922 -0.2086 1.9771
O 2.5293 -2.1664 2.8564
O 3.0528 -4.6707 1.5303
F 3.0528 4.3049 1.5303
F 1.3262 -4.3049 4.5910
```

Total energy in eV/atom: -7.147
Density of states at the Fermi level in states/eV/f.u.: 5.314



No. 7
Below is an optimized crystal structure of PuSe2O5F4, with properties calculated at the PBE-GGA level.

Structure (extended XYZ):
```
12
Lattice="5.8236 0.0000 0.0000 0.0000 3.7913 4.1065 0.0000 -3.7913 4.1065" Properties=species:S:1:pos:R:3 pbc="T T T"
Pu 0.0000 0.0000 0.0000
Se 2.9118 -1.7202 5.0310
Se 2.9118 1.7202 5.0310
O 1.6454 -2.1881 3.9693
O 1.6454 2.1881 3.9693
O 2.9118 0.0000 4.3902
O 4.1782 -2.1881 3.9693
O 4.1782 2.1881 3.9693
F 0.0000 -1.1677 6.4190
F 0.0000 1.1677 6.4190
F 1.2550 0.0000 1.7299
F 4.5685 0.0000 1.7299
```

Total energy in eV/atom: -5.969
Density of states at the Fermi level in states/eV/f.u.: 10.367



No. 8
Below is an optimized crystal structure of PuSi2O6F, with properties calculated at the PBE-GGA level.

Structure (extended XYZ):
```
20
Lattice="5.6332 -5.2460 0.0000 5.6332 5.2460 0.0000 -1.7414 0.0000 4.8302" Properties=species:S:1:pos:R:3 pbc="T T T"
Pu 4.3272 3.5662 3.6227
Pu 5.1979 -3.5662 1.2076
Si 3.0574 0.9314 1.5839
Si 2.1867 -0.9314 3.9990
Si 7.3383 0.9314 0.8312
Si 6.4676 -0.9314 3.2463
O 1.6070 1.6448 1.1889
O 4.0717 2.0518 2.1690
O 3.6499 0.2741 0.2245
O 0.7363 -1.6448 3.6040
O 2.7792 -0.2741 2.6396
O 6.3240 2.0518 0.2461
O 3.2010 -2.0518 4.5842
O 6.7458 0.2741 2.1906
O 8.7887 1.6448 1.2262
O 5.8751 -0.2741 4.6058
O 5.4533 -2.0518 2.6612
O 7.9180 -1.6448 3.6413
F 5.1979 4.7125 1.2076
F 4.3272 -4.7125 3.6227
```

Total energy in eV/atom: -8.373
Density of states at the Fermi level in states/eV/f.u.: 6.452



No. 9
Below is an optimized crystal structure of SmPuO4F, with properties calculated at the PBE-GGA level.

Structure (extended XYZ):
```
14
Lattice="5.2215 -3.4691 0.0000 5.2215 3.4691 0.0000 -0.3699 0.0000 6.6708" Properties=species:S:1:pos:R:3 pbc="T T T"
Sm 1.8479 0.0000 0.3481
Sm 8.2251 0.0000 6.3227
Pu 3.4607 0.0000 4.0532
Pu 6.6124 0.0000 2.6177
O 2.7525 1.3342 5.4566
O 1.8771 0.0000 3.1312
O 4.8142 0.0000 2.0055
O 2.7525 -1.3342 5.4566
O 7.3206 1.3342 1.2143
O 5.2589 0.0000 4.6653
O 8.1960 0.0000 3.5396
O 7.3206 -1.3342 1.2143
F -0.0944 0.0000 5.4308
F 10.1675 0.0000 1.2400
```

Total energy in eV/atom: -8.675
Density of states at the Fermi level in states/eV/f.u.: 5.003



No. 10
Below is an optimized crystal structure of Tb3PuO6F2, with properties calculated at the PBE-GGA level.

Structure (extended XYZ):
```
12
Lattice="5.9357 -3.3745 0.0000 5.9357 3.3745 0.0000 -0.2360 0.0000 4.7295" Properties=species:S:1:pos:R:3 pbc="T T T"
Tb 0.0000 0.0000 0.0000
Tb 2.8498 1.6873 2.3647
Tb 2.8498 -1.6873 2.3647
Pu 5.8177 0.0000 2.3647
O 4.8503 1.6604 3.4314
O 6.7851 1.6604 1.2981
O 3.9180 0.0000 1.3989
O 7.7173 0.0000 3.3306
O 4.8503 -1.6604 3.4314
O 6.7851 -1.6604 1.2981
F 1.8411 0.0000 3.6028
F 9.7943 0.0000 1.1267
```

Total energy in eV/atom: -8.439
Density of states at the Fermi level in states/eV/f.u.: 10.070



No. 11
Below is an optimized crystal structure of PuTlO3F, with properties calculated at the PBE-GGA level.

Structure (extended XYZ):
```
12
Lattice="3.0252 -9.8836 0.0000 3.0252 9.8836 0.0000 -1.9387 0.0000 4.1712" Properties=species:S:1:pos:R:3 pbc="T T T"
Pu 1.5712 6.0097 3.1284
Pu 2.5405 -6.0097 1.0428
Tl 1.5712 1.6278 3.1284
Tl 2.5405 -1.6278 1.0428
O 1.5712 7.9380 3.1284
O 1.2464 3.8758 1.8551
O 3.8347 3.8758 0.2305
O 0.2770 -3.8758 3.9407
O 2.8654 -3.8758 2.3161
O 2.5405 -7.9380 1.0428
F 2.5405 6.2710 1.0428
F 1.5712 -6.2710 3.1284
```

Total energy in eV/atom: -7.663
Density of states at the Fermi level in states/eV/f.u.: 5.141



No. 12
Below is an optimized crystal structure of Tm3PuO6F2, with properties calculated at the PBE-GGA level.

Structure (extended XYZ):
```
12
Lattice="5.8216 -3.3094 0.0000 5.8216 3.3094 0.0000 -0.2245 0.0000 4.6576" Properties=species:S:1:pos:R:3 pbc="T T T"
Tm 0.0000 0.0000 0.0000
Tm 2.7985 1.6547 2.3288
Tm 2.7985 -1.6547 2.3288
Pu 5.7093 0.0000 2.3288
O 4.7391 1.6509 3.3959
O 6.6795 1.6509 1.2616
O 3.8109 0.0000 1.3712
O 7.6078 0.0000 3.2864
O 4.7391 -1.6509 3.3959
O 6.6795 -1.6509 1.2616
F 1.8033 0.0000 3.5294
F 9.6154 0.0000 1.1281
```

Total energy in eV/atom: -8.460
Density of states at the Fermi level in states/eV/f.u.: 9.629



No. 13
Below is an optimized crystal structure of Y3PuO6F2, with properties calculated at the PBE-GGA level.

Structure (extended XYZ):
```
12
Lattice="5.9129 -3.3632 0.0000 5.9129 3.3632 0.0000 -0.2498 0.0000 4.7278" Properties=species:S:1:pos:R:3 pbc="T T T"
Y 0.0000 0.0000 0.0000
Y 2.8315 1.6816 2.3639
Y 2.8315 -1.6816 2.3639
Pu 5.7879 0.0000 2.3639
O 4.8198 1.6576 3.4323
O 6.7560 1.6576 1.2955
O 3.8899 0.0000 1.3992
O 7.6860 0.0000 3.3286
O 4.8198 -1.6576 3.4323
O 6.7560 -1.6576 1.2955
F 1.8237 0.0000 3.6019
F 9.7522 0.0000 1.1259
```

Total energy in eV/atom: -8.893
Density of states at the Fermi level in states/eV/f.u.: 10.035



No. 14
Below is an optimized crystal structure of RbO2F4, with properties calculated at the PBE-GGA level.

Structure (extended XYZ):
```
14
Lattice="6.7639 0.0000 0.0000 0.0000 6.7639 0.0000 0.0000 0.0000 5.4111" Properties=species:S:1:pos:R:3 pbc="T T T"
Rb 0.0000 0.0000 0.0000
Rb 3.3819 3.3819 2.7055
O 0.0000 3.3819 1.3528
O 0.0000 3.3819 4.0583
O 3.3819 0.0000 1.3528
O 3.3819 0.0000 4.0583
F 0.0000 1.9335 2.7055
F 0.0000 4.8303 2.7055
F 1.4484 3.3819 0.0000
F 1.9335 0.0000 2.7055
F 3.3819 1.4484 0.0000
F 3.3819 5.3155 0.0000
F 4.8303 0.0000 2.7055
F 5.3155 3.3819 0.0000
```

Total energy in eV/atom: -2.785
Density of states at the Fermi level in states/eV/f.u.: 3.740



No. 15
Below is an optimized crystal structure of Rb4O2F3, with properties calculated at the PBE-GGA level.

Structure (extended XYZ):
```
18
Lattice="7.1053 -4.1814 0.0000 7.1053 4.1814 0.0000 -1.4528 0.0000 7.5725" Properties=species:S:1:pos:R:3 pbc="T T T"
Rb 3.1010 0.6410 2.3866
Rb 5.4474 2.2130 7.3726
Rb 6.5841 2.2130 3.9862
Rb 2.3746 -0.6410 6.1729
Rb 10.3833 0.6410 1.3997
Rb 6.1738 -2.2130 3.5863
Rb 7.3105 -2.2130 0.2000
Rb 9.6570 -0.6410 5.1859
O 4.1138 2.3390 0.2829
O 9.3705 2.3390 3.5034
O 3.3874 -2.3390 4.0691
O 8.6442 -2.3390 7.2897
F 6.7422 4.0408 1.8931
F 4.1899 1.2028 4.8903
F 7.8416 1.2028 6.4685
F 4.9163 -1.2028 1.1041
F 8.5680 -1.2028 2.6822
F 6.0158 -4.0408 5.6794
```

Total energy in eV/atom: -4.149
Density of states at the Fermi level in states/eV/f.u.: 1.040



No. 16
Below is an optimized crystal structure of Rb8O4F, with properties calculated at the PBE-GGA level.

Structure (extended XYZ):
```
13
Lattice="4.2149 2.4335 6.5999 -4.2149 2.4335 6.5999 0.0000 -4.8669 6.5999" Properties=species:S:1:pos:R:3 pbc="T T T"
Rb -2.2187 -1.2810 11.3102
Rb 0.0000 0.0000 4.6242
Rb 0.0000 -2.5619 8.4895
Rb -2.2187 1.2810 8.4895
Rb 2.2187 -1.2810 11.3101
Rb 0.0000 2.5619 11.3101
Rb 0.0000 0.0000 15.1754
Rb 2.2187 1.2810 8.4895
O -4.2149 0.0000 9.8998
O -2.1074 1.2167 3.2999
O 2.1074 1.2167 3.2999
O 0.0000 0.0000 9.8998
F 0.0000 0.0000 0.0000
```

Total energy in eV/atom: -3.418
Density of states at the Fermi level in states/eV/f.u.: 18.993



No. 17
Below is an optimized crystal structure of Rb3O2F5, with properties calculated at the PBE-GGA level.

Structure (extended XYZ):
```
20
Lattice="5.7870 -5.5003 0.0000 5.7870 5.5003 0.0000 -1.6797 0.0000 7.2986" Properties=species:S:1:pos:R:3 pbc="T T T"
Rb 4.5272 5.4748 5.4740
Rb 2.4777 1.1317 6.9401
Rb 3.3175 -1.1317 3.2908
Rb 6.5767 1.1317 4.0079
Rb 7.4165 -1.1317 0.3586
Rb 5.3670 -5.4748 1.8247
O 2.5390 2.8831 3.3141
O 8.1951 2.8831 0.3352
O 1.6992 -2.8831 6.9634
O 7.3552 -2.8831 3.9845
F 2.6684 3.9004 6.9482
F 1.2291 0.6722 4.1613
F 2.0689 -0.6722 0.5120
F 6.3860 3.9004 3.9997
F 5.3670 0.0073 1.8247
F 4.5272 -0.0073 5.4740
F 3.5082 -3.9004 3.2989
F 7.8253 0.6722 6.7866
F 8.6652 -0.6722 3.1373
F 7.2259 -3.9004 0.3504
```

Total energy in eV/atom: -3.839
Density of states at the Fermi level in states/eV/f.u.: 9.502



No. 18
Below is an optimized crystal structure of RbO3F12, with properties calculated at the PBE-GGA level.

Structure (extended XYZ):
```
32
Lattice="4.5201 2.6097 9.5909 -4.5201 2.6097 9.5909 0.0000 -5.2194 9.5909" Properties=species:S:1:pos:R:3 pbc="T T T"
Rb 0.0000 0.0000 0.0000
Rb 0.0000 0.0000 14.3864
O -1.4808 -2.5497 11.2641
O -3.0524 -0.0524 16.0596
O -1.4677 2.5573 11.2641
O 1.5716 -2.6172 16.0595
O 2.9485 -0.0075 11.2641
O 1.4808 2.6697 16.0596
F -2.5853 -1.6453 11.3777
F -1.9348 0.9644 6.5823
F -0.9099 -2.3978 9.5684
F 0.1322 -2.1578 6.5823
F -2.8985 -0.6228 14.3639
F -3.0171 -1.4530 16.9996
F -0.2503 -1.8800 12.2042
F -1.6216 1.9869 9.5684
F -1.5030 1.1567 12.2042
F -2.4793 -1.2503 20.8797
F -0.1568 -2.4471 16.0843
F -2.0408 1.3594 16.0843
F 1.8026 1.1934 6.5822
F -0.1322 3.0616 11.3777
F 1.9886 -2.1988 14.3638
F 2.7175 -1.4163 11.3777
F 2.5315 0.4109 9.5684
F 1.7532 0.7233 12.2041
F 2.7669 -1.8864 16.9996
F 0.9099 2.8216 14.3638
F 0.2503 3.3394 16.9996
F 2.1977 1.0877 16.0843
F 2.3225 -1.5220 20.8798
F 0.1568 2.7723 20.8798
```

Total energy in eV/atom: -2.555
Density of states at the Fermi level in states/eV/f.u.: 7.942



No. 19
Below is an optimized crystal structure of RbOF, with properties calculated at the PBE-GGA level.

Structure (extended XYZ):
```
12
Lattice="5.0765 0.0000 0.0000 0.0000 5.4961 0.0000 0.0000 0.0000 9.1388" Properties=species:S:1:pos:R:3 pbc="T T T"
Rb 1.2691 1.3740 0.4864
Rb 1.2691 4.1221 3.6759
Rb 3.8074 1.3740 5.4628
Rb 3.8074 4.1221 8.6524
O 1.2691 3.5046 6.7967
O 1.2691 4.7396 6.7967
O 3.8074 0.7565 2.3421
O 3.8074 1.9915 2.3421
F 1.2691 1.3740 3.9551
F 1.2691 4.1221 0.7746
F 3.8074 1.3740 8.3641
F 3.8074 4.1221 5.1836
```

Total energy in eV/atom: -4.296